Entry 1:
Here is a geometry-optimized GaB2As structure from Alexandria. Energies are from PBE-GGA.

Output
Formation energy from the elements = 0.259 eV/atom
SG = No. 8

Lattice parameters (Å, degrees): 6.005 6.005 8.234 124.39 124.39 28.08
Fractional positions:
Ga 0.000 0.000 0.000
Ga 0.687 0.687 0.015
B 0.063 0.063 0.319
B 0.484 0.484 0.308
B 0.667 0.667 0.443
B 0.894 0.894 0.280
As 0.738 0.738 0.755
As 0.871 0.871 0.519

Entry 2:
Here is a geometry-optimized YErO3 structure from Alexandria. Energies are from PBE-GGA.

Output
E_form (uncorrected) = -3.50 eV/atom
SG = No. 62

Lattice parameters (Å, degrees): 5.922 8.419 5.662 90.00 90.00 90.00
Fractional positions:
Y 0.053 0.250 0.020
Y 0.447 0.750 0.520
Y 0.553 0.250 0.480
Y 0.947 0.750 0.980
Er 0.000 0.000 0.500
Er 0.000 0.500 0.500
Er 0.500 0.000 0.000
Er 0.500 0.500 0.000
O 0.080 0.750 0.351
O 0.189 0.580 0.814
O 0.189 0.920 0.814
O 0.311 0.080 0.314
O 0.311 0.420 0.314
O 0.420 0.250 0.851
O 0.580 0.750 0.149
O 0.689 0.580 0.686
O 0.689 0.920 0.686
O 0.811 0.080 0.186
O 0.811 0.420 0.186
O 0.920 0.250 0.649

Entry 3:
Here is a geometry-optimized Li2GeB2Pd5 structure from Alexandria. Energies are from PBE-GGA.

Output
Formation energy from the elements = -0.415 eV/atom
SG = No. 127

Lattice parameters (Å, degrees): 9.401 9.401 3.034 90.00 90.00 90.00
Fractional positions:
Li 0.174 0.326 0.000
Li 0.326 0.826 0.000
Li 0.674 0.174 0.000
Li 0.826 0.674 0.000
Ge 0.000 0.000 0.000
Ge 0.500 0.500 0.000
B 0.125 0.625 0.000
B 0.375 0.125 0.000
B 0.625 0.875 0.000
B 0.875 0.375 0.000
Pd 0.000 0.500 0.500
Pd 0.074 0.784 0.500
Pd 0.216 0.074 0.500
Pd 0.284 0.574 0.500
Pd 0.426 0.284 0.500
Pd 0.500 0.000 0.500
Pd 0.574 0.716 0.500
Pd 0.716 0.426 0.500
Pd 0.784 0.926 0.500
Pd 0.926 0.216 0.500

Entry 4:
Here is a geometry-optimized Li5Cd6Si structure from Alexandria. Energies are from PBE-GGA.

Output
E_form (uncorrected) = -0.16 eV/atom
SG = No. 12

Lattice parameters (Å, degrees): 8.034 8.034 4.513 104.95 104.95 51.96
Fractional positions:
Li 0.000 0.000 0.000
Li 0.167 0.167 0.669
Li 0.339 0.339 0.333
Li 0.661 0.661 0.667
Li 0.833 0.833 0.331
Cd 0.074 0.586 0.826
Cd 0.240 0.760 0.500
Cd 0.414 0.926 0.174
Cd 0.586 0.074 0.826
Cd 0.760 0.240 0.500
Cd 0.926 0.414 0.174
Si 0.500 0.500 0.000

Entry 5:
Here is a geometry-optimized Mn2ZnRh structure from Alexandria. Energies are from PBE-GGA.

Output
Formation energy from the elements = -0.015 eV/atom
SG = No. 40

Lattice parameters (Å, degrees): 4.373 5.273 5.273 113.45 90.00 90.00
Fractional positions:
Mn 0.250 0.109 0.891
Mn 0.250 0.143 0.396
Mn 0.750 0.396 0.143
Mn 0.750 0.891 0.109
Zn 0.250 0.616 0.909
Zn 0.750 0.909 0.616
Rh 0.250 0.638 0.407
Rh 0.750 0.407 0.638

Entry 6:
Here is a geometry-optimized Tb2CeGd structure from Alexandria. Energies are from PBE-GGA.

Output
Formation energy from the elements = 0.168 eV/atom
SG = No. 225

Lattice parameters (Å, degrees): 5.677 5.677 5.677 60.00 60.00 60.00
Fractional positions:
Tb 0.250 0.250 0.250
Tb 0.750 0.750 0.750
Ce 0.000 0.000 0.000
Gd 0.500 0.500 0.500

Entry 7:
Here is a geometry-optimized NaMnCr2Mo structure from Alexandria. Energies are from PBE-GGA.

Output
Formation energy from the elements = 1.683 eV/atom
SG = No. 123

Lattice parameters (Å, degrees): 4.170 4.170 4.569 90.00 90.00 90.00
Fractional positions:
Na 0.000 0.000 0.000
Mn 0.000 0.000 0.500
Cr 0.000 0.500 0.500
Cr 0.500 0.000 0.500
Mo 0.500 0.500 0.000

Entry 8:
Here is a geometry-optimized Cs4YBr6 structure from Alexandria. Energies are from PBE-GGA.

Output
E_form (uncorrected) = -1.69 eV/atom
SG = No. 128

Lattice parameters (Å, degrees): 10.060 10.060 10.327 90.00 90.00 90.00
Fractional positions:
Cs 0.174 0.326 0.250
Cs 0.174 0.326 0.750
Cs 0.326 0.826 0.250
Cs 0.326 0.826 0.750
Cs 0.674 0.174 0.250
Cs 0.674 0.174 0.750
Cs 0.826 0.674 0.250
Cs 0.826 0.674 0.750
Y 0.000 0.000 0.000
Y 0.500 0.500 0.500
Br 0.000 0.000 0.276
Br 0.000 0.000 0.724
Br 0.086 0.721 0.000
Br 0.221 0.586 0.500
Br 0.279 0.086 0.000
Br 0.414 0.221 0.500
Br 0.500 0.500 0.224
Br 0.500 0.500 0.776
Br 0.586 0.779 0.500
Br 0.721 0.914 0.000
Br 0.779 0.414 0.500
Br 0.914 0.279 0.000

Entry 9:
Here is a geometry-optimized K2CuAuO4 structure from Alexandria. Energies are from PBE-GGA.

Output
E_form (uncorrected) = -0.81 eV/atom
SG = No. 70

Lattice parameters (Å, degrees): 11.341 9.594 7.321 83.04 57.11 39.85
Fractional positions:
K 0.044 0.044 0.706
K 0.294 0.294 0.956
K 0.706 0.706 0.044
K 0.956 0.956 0.294
Cu 0.125 0.125 0.125
Cu 0.875 0.875 0.875
Au 0.375 0.375 0.375
Au 0.625 0.625 0.625
O 0.007 0.741 0.554
O 0.199 0.554 0.741
O 0.259 0.993 0.801
O 0.446 0.801 0.993
O 0.554 0.199 0.007
O 0.741 0.007 0.199
O 0.801 0.446 0.259
O 0.993 0.259 0.446

Entry 10:
Here is a geometry-optimized Li2Al2Sb structure from Alexandria. Energies are from PBE-GGA.

Output
E_form (uncorrected) = -0.06 eV/atom
SG = No. 127

Lattice parameters (Å, degrees): 7.831 7.831 3.095 90.00 90.00 90.00
Fractional positions:
Li 0.177 0.323 0.000
Li 0.323 0.823 0.000
Li 0.677 0.177 0.000
Li 0.823 0.677 0.000
Al 0.120 0.620 0.500
Al 0.380 0.120 0.500
Al 0.620 0.880 0.500
Al 0.880 0.380 0.500
Sb 0.000 0.000 0.500
Sb 0.500 0.500 0.500

Entry 11:
Here is a geometry-optimized TbYHoZn structure from Alexandria. Energies are from PBE-GGA.

Output
Formation energy from the elements = -0.163 eV/atom
SG = No. 99

Lattice parameters (Å, degrees): 3.566 3.566 8.622 90.00 90.00 90.00
Fractional positions:
Tb 0.000 0.000 0.000
Y 0.500 0.500 0.703
Ho 0.500 0.500 0.291
Zn 0.000 0.000 0.495

Entry 12:
Here is a geometry-optimized LiCaTc structure from Alexandria. Energies are from PBE-GGA.

Output
Formation energy from the elements = 0.576 eV/atom
SG = No. 44

Lattice parameters (Å, degrees): 5.647 5.647 5.647 151.44 138.87 50.84
Fractional positions:
Li 0.000 0.000 0.000
Ca 0.698 0.698 0.000
Tc 0.385 0.385 0.000

Entry 13:
Here is a geometry-optimized KSrCaMn2 structure from Alexandria. Energies are from PBE-GGA.

Output
Formation energy from the elements = 1.282 eV/atom
SG = No. 123

Lattice parameters (Å, degrees): 5.564 5.564 5.654 90.00 90.00 90.00
Fractional positions:
K 0.000 0.000 0.000
Sr 0.500 0.500 0.500
Ca 0.000 0.000 0.500
Mn 0.000 0.500 0.000
Mn 0.500 0.000 0.000

Entry 14:
Here is a geometry-optimized FeReTe2 structure from Alexandria. Energies are from PBE-GGA.

Output
E_form (uncorrected) = 0.33 eV/atom
SG = No. 99

Lattice parameters (Å, degrees): 3.242 3.242 8.066 90.00 90.00 90.00
Fractional positions:
Fe 0.000 0.000 0.000
Re 0.500 0.500 0.192
Te 0.000 0.000 0.383
Te 0.500 0.500 0.833

Entry 15:
Here is a geometry-optimized Pm3ScSi3 structure from Alexandria. Energies are from PBE-GGA.

Output
E_form (uncorrected) = -0.44 eV/atom
SG = No. 12

Lattice parameters (Å, degrees): 7.398 7.398 7.448 92.16 92.16 112.90
Fractional positions:
Pm 0.164 0.836 0.000
Pm 0.229 0.771 0.500
Pm 0.384 0.384 0.150
Pm 0.616 0.616 0.850
Pm 0.771 0.229 0.500
Pm 0.836 0.164 0.000
Sc 0.230 0.230 0.611
Sc 0.770 0.770 0.389
Si 0.074 0.074 0.291
Si 0.150 0.490 0.797
Si 0.490 0.150 0.797
Si 0.510 0.850 0.203
Si 0.850 0.510 0.203
Si 0.926 0.926 0.709

Entry 16:
Here is a geometry-optimized NdDyEr4 structure from Alexandria. Energies are from PBE-GGA.

Output
Formation energy from the elements = 0.161 eV/atom
SG = No. 15

Lattice parameters (Å, degrees): 8.532 8.532 6.497 101.15 101.15 118.17
Fractional positions:
Nd 0.008 0.992 0.750
Nd 0.992 0.008 0.250
Dy 0.413 0.587 0.750
Dy 0.587 0.413 0.250
Er 0.109 0.710 0.458
Er 0.173 0.427 0.114
Er 0.290 0.891 0.042
Er 0.427 0.173 0.614
Er 0.573 0.827 0.386
Er 0.710 0.109 0.958
Er 0.827 0.573 0.886
Er 0.891 0.290 0.542

Entry 17:
Here is a geometry-optimized Zn2Pt8Rh structure from Alexandria. Energies are from PBE-GGA.

Output
Formation energy from the elements = -0.044 eV/atom
SG = No. 65

Lattice parameters (Å, degrees): 6.700 6.700 4.027 90.00 90.00 105.48
Fractional positions:
Zn 0.118 0.882 0.000
Zn 0.882 0.118 0.000
Pt 0.168 0.168 0.500
Pt 0.190 0.458 0.000
Pt 0.255 0.745 0.500
Pt 0.458 0.190 0.000
Pt 0.542 0.810 0.000
Pt 0.745 0.255 0.500
Pt 0.810 0.542 0.000
Pt 0.832 0.832 0.500
Rh 0.500 0.500 0.500

Entry 18:
Here is a geometry-optimized Fe3ReSn structure from Alexandria. Energies are from PBE-GGA.

Output
Formation energy from the elements = 1.289 eV/atom
SG = No. 221

Lattice parameters (Å, degrees): 4.553 4.553 4.553 90.00 90.00 90.00
Fractional positions:
Fe 0.000 0.000 0.500
Fe 0.000 0.500 0.000
Fe 0.500 0.000 0.000
Re 0.000 0.000 0.000
Sn 0.500 0.500 0.500

Entry 19:
Here is a geometry-optimized LiPr4Ag3 structure from Alexandria. Energies are from PBE-GGA.

Output
Formation energy from the elements = -0.156 eV/atom
SG = No. 166

Lattice parameters (Å, degrees): 9.296 9.296 9.296 33.55 33.55 33.55
Fractional positions:
Li 0.000 0.000 0.000
Pr 0.128 0.128 0.128
Pr 0.378 0.378 0.378
Pr 0.622 0.622 0.622
Pr 0.872 0.872 0.872
Ag 0.256 0.256 0.256
Ag 0.500 0.500 0.500
Ag 0.744 0.744 0.744

Entry 20:
Here is a geometry-optimized BaMgAl2Au5 structure from Alexandria. Energies are from PBE-GGA.

Output
Formation energy from the elements = -0.442 eV/atom
SG = No. 123

Lattice parameters (Å, degrees): 4.851 4.851 9.247 90.00 90.00 90.00
Fractional positions:
Ba 0.000 0.000 0.000
Mg 0.000 0.000 0.500
Al 0.500 0.500 0.269
Al 0.500 0.500 0.731
Au 0.000 0.500 0.343
Au 0.000 0.500 0.657
Au 0.500 0.000 0.343
Au 0.500 0.000 0.657
Au 0.500 0.500 0.000

Entry 21:
Here is a geometry-optimized Ca2CrC structure from Alexandria. Energies are from PBE-GGA.

Output
Formation energy from the elements = 0.278 eV/atom
SG = No. 122

Lattice parameters (Å, degrees): 7.316 7.316 7.316 94.09 94.09 149.03
Fractional positions:
Ca 0.375 0.193 0.318
Ca 0.807 0.125 0.182
Ca 0.875 0.057 0.682
Ca 0.943 0.625 0.818
Cr 0.250 0.750 0.500
Cr 0.500 0.500 0.000
C 0.000 0.000 0.000
C 0.750 0.250 0.500

Entry 22:
Here is a geometry-optimized ZnGe2W structure from Alexandria. Energies are from PBE-GGA.

Output
Formation energy from the elements = 0.259 eV/atom
SG = No. 166

Lattice parameters (Å, degrees): 8.908 8.908 8.908 19.97 19.97 19.97
Fractional positions:
Zn 0.000 0.000 0.000
Ge 0.094 0.094 0.094
Ge 0.906 0.906 0.906
W 0.500 0.500 0.500

Number 1: total magnetization 0.00 μB/atom, calculated total energy -0.3674 Ry per atom. Number 2: total magnetization 0.00 μB/atom, calculated total energy -0.6380 Ry per atom. Number 3: total magnetization 0.00 μB/atom, calculated total energy -0.3816 Ry per atom. Number 4: total magnetization 0.00 μB/atom, calculated total energy -0.1372 Ry per atom. Number 5: total magnetization 1.78 μB/atom, calculated total energy -0.4965 Ry per atom. Number 6: total magnetization 2.40 μB/atom, calculated total energy -0.5255 Ry per atom. Number 7: total magnetization 0.14 μB/atom, calculated total energy -0.4726 Ry per atom. Number 8: total magnetization 0.07 μB/atom, calculated total energy -0.2573 Ry per atom. Number 9: total magnetization 0.00 μB/atom, calculated total energy -0.3294 Ry per atom. Number 10: total magnetization 0.00 μB/atom, calculated total energy -0.2312 Ry per atom. Number 11: total magnetization 0.00 μB/atom, calculated total energy -0.3234 Ry per atom. Number 12: total magnetization 0.00 μB/atom, calculated total energy -0.3076 Ry per atom. Number 13: total magnetization 1.41 μB/atom, calculated total energy -0.2456 Ry per atom. Number 14: total magnetization 0.54 μB/atom, calculated total energy -0.4758 Ry per atom. Number 15: total magnetization 0.00 μB/atom, calculated total energy -0.4192 Ry per atom. Number 16: total magnetization 0.00 μB/atom, calculated total energy -0.3265 Ry per atom. Number 17: total magnetization 0.00 μB/atom, calculated total energy -0.3923 Ry per atom. Number 18: total magnetization 1.15 μB/atom, calculated total energy -0.5203 Ry per atom. Number 19: total magnetization 0.00 μB/atom, calculated total energy -0.2833 Ry per atom. Number 20: total magnetization 0.00 μB/atom, calculated total energy -0.2562 Ry per atom. Number 21: total magnetization 0.71 μB/atom, calculated total energy -0.3994 Ry per atom. Number 22: total magnetization 0.00 μB/atom, calculated total energy -0.4121 Ry per atom.